Material: VInRh3
Method: DFT, GGA-PBE
State: relaxed

a b c (Å): 4.8040 4.8040 4.8040
angles (deg): 90.00 90.00 90.00
Site moments in Bohr magnetons follow the coordinates.
Fractional coordinates of all 5 atoms:
Rh: 0.0000 0.0000 0.5000  -0.60
Rh: 0.5000 0.0000 0.0000  -0.60
V: 0.5000 0.5000 0.5000  2.62
Rh: 0.0000 0.5000 0.0000  -0.60
In: 0.0000 0.0000 0.0000  0.01

Results
Offset from the most stable computed form ... 0.984 eV/atom
Space-group type ... Pm-3m, No. 221
Calculated density ... 7.106 g cm⁻³
Total moment ... 1.32 μB/f.u.
Calculated volume ... 22.17 Å³ per atom